Density functional theory data (GGA-PBE) for a geometry-optimized Ce3Dy3TmS8 structure.

Output
Crystal system: trigonal
Total magnetization in μB per cell: 10.25
Uncorrected formation energy in kcal/mol of atoms: -47.261
Final energy in eV/atom: -6.66

Geometry as CIF:
```
data_Ce3Dy3TmS8
_chemical_formula_sum 'Ce9 Dy9 Tm3 S24'
_cell_length_a 7.8692
_cell_length_b 7.8692
_cell_length_c 19.6383
_cell_angle_alpha 90.00
_cell_angle_beta 90.00
_cell_angle_gamma 120.00
_space_group_name_H-M_alt 'R -3 m'
_space_group_IT_number 166
_space_group_name_Hall '-R 3 2"'
loop_
_atom_site_label
_atom_site_type_symbol
_atom_site_fract_x
_atom_site_fract_y
_atom_site_fract_z
Ce1 Ce 0.0000 0.5000 0.0000
Dy1 Dy 0.0000 0.5000 0.5000
Tm1 Tm 0.0000 0.0000 0.5000
S1 S 0.0000 0.0000 0.2460
S2 S 0.0021 0.5010 0.2456
```